CaCr2PbF8, relaxed, DFT PBE with a Hubbard U; space-group type = P-1; total energy = -0.2142 Ha/atom
1.0
-3.003 -1.470 -2.352
-1.087 -4.500 2.946
-5.630 3.297 4.879
Ca Cr Pb F
1 2 1 8
Direct
0.000 0.000 0.000
0.500 0.500 0.767
0.500 0.500 0.233
0.000 0.000 0.500
0.089 0.741 0.260
0.562 0.748 0.032
0.914 0.262 0.206
0.911 0.259 0.740
0.438 0.252 0.968
0.086 0.738 0.794
0.558 0.726 0.555
0.442 0.274 0.445